This record from the Alexandria database describes a relaxed AcSc2Sn crystal. The functional is PBE.

Results
volume = 27.756 Å³/atom
density of states at the Fermi level = 1.30 states/eV/atom
space group = P4/mmm
E_form = -0.243 eV per atom

Lattice parameters (Å, degrees): 3.758 3.758 7.860 90.00 90.00 90.00
Atoms (fractional coordinates):
Ac1 0.000 0.000 0.000
Sc1 0.500 0.500 0.299
Sc2 0.500 0.500 0.701
Sn1 0.000 0.000 0.500

---

This record from the Alexandria database describes a relaxed AcScSn crystal. The functional is PBE.

Results
volume = 30.963 Å³/atom
density of states at the Fermi level = 1.55 states/eV/atom
space group = I4mm
E_form = -0.323 eV per atom

Lattice parameters (Å, degrees): 6.571 6.571 6.571 145.00 145.00 50.34
Atoms (fractional coordinates):
Ac1 0.000 0.000 0.000
Sc1 0.705 0.705 0.000
Sn1 0.305 0.305 0.000

---

This record from the Alexandria database describes a relaxed Ac4ScSn5 crystal. The functional is PBE.

Results
volume = 31.592 Å³/atom
density of states at the Fermi level = 0.52 states/eV/atom
space group = P4/mmm
E_form = -0.589 eV per atom

Lattice parameters (Å, degrees): 3.845 3.845 21.369 90.00 90.00 90.00
Atoms (fractional coordinates):
Ac1 0.000 0.000 0.108
Ac2 0.000 0.000 0.321
Ac3 0.000 0.000 0.679
Ac4 0.000 0.000 0.892
Sc1 0.000 0.000 0.500
Sn1 0.500 0.500 0.000
Sn2 0.500 0.500 0.215
Sn3 0.500 0.500 0.428
Sn4 0.500 0.500 0.572
Sn5 0.500 0.500 0.785